## LiPb8 (PBEsol)

Data for a relaxed structure of LiPb8.

ρ: 10.66 g cm⁻³
Total magnetization: 0.00 μB per formula unit
DFT total energy: -3.822 eV/atom

Cell: 7.6916 7.6916 7.6916 Å, 95.75 95.75 143.09°
Closest atoms and distances in Å follow each position.
Fractional coordinates of all 9 atoms:
Li (0.0000, 0.0000, 0.0000)  12 Pb 3.40-3.42
Pb (0.0000, 0.3293, 0.3293)  1 Li 3.40, 11 Pb 3.42-3.52
Pb (0.0000, 0.6707, 0.6707)  1 Li 3.40, 11 Pb 3.42-3.52
Pb (0.3293, 0.0000, 0.3293)  1 Li 3.40, 11 Pb 3.42-3.52
Pb (0.3357, 0.3357, 0.6713)  10 Pb 3.39-3.49, 2 Li 3.42
Pb (0.3357, 0.6643, 0.0000)  10 Pb 3.39-3.49, 2 Li 3.42
Pb (0.6643, 0.3357, 0.0000)  10 Pb 3.39-3.49, 2 Li 3.42
Pb (0.6643, 0.6643, 0.3287)  10 Pb 3.39-3.49, 2 Li 3.42
Pb (0.6707, 0.0000, 0.6707)  1 Li 3.40, 11 Pb 3.42-3.52

## Li4Pb5 (PBEsol)

Data for a relaxed structure of Li4Pb5.

ρ: 8.45 g cm⁻³
Total magnetization: 0.00 μB per formula unit
DFT total energy: -3.284 eV/atom

Cell: 8.7055 8.7055 6.3700 Å, 90.00 90.00 120.00°
Closest atoms and distances in Å follow each position.
Fractional coordinates of all 18 atoms:
Li (0.0000, 0.0000, 0.0000)  6 Pb 2.97, 2 Li 3.19
Li (0.0000, 0.0000, 0.5000)  6 Pb 2.97, 2 Li 3.19
Li (0.0000, 0.3742, 0.2500)  9 Pb 2.94-3.27
Li (0.0000, 0.6258, 0.7500)  9 Pb 2.94-3.27
Li (0.3742, 0.0000, 0.2500)  9 Pb 2.94-3.27
Li (0.3742, 0.3742, 0.7500)  9 Pb 2.94-3.27
Li (0.6258, 0.0000, 0.7500)  9 Pb 2.94-3.27
Li (0.6258, 0.6258, 0.2500)  9 Pb 2.94-3.27
Pb (0.0000, 0.2876, 0.7500)  7 Li 2.94-3.27
Pb (0.0000, 0.7124, 0.2500)  7 Li 2.94-3.27
Pb (0.2876, 0.0000, 0.7500)  7 Li 2.94-3.27
Pb (0.2876, 0.2876, 0.2500)  7 Li 2.94-3.27
Pb (0.3333, 0.6667, 0.0000)  6 Li 3.17, 8 Pb 3.19-3.50
Pb (0.3333, 0.6667, 0.5000)  6 Li 3.17, 8 Pb 3.19-3.50
Pb (0.6667, 0.3333, 0.0000)  6 Li 3.17, 8 Pb 3.19-3.50
Pb (0.6667, 0.3333, 0.5000)  6 Li 3.17, 8 Pb 3.19-3.50
Pb (0.7124, 0.0000, 0.2500)  7 Li 2.94-3.27
Pb (0.7124, 0.7124, 0.7500)  7 Li 2.94-3.27

## Li3Pb (PBEsol)

Data for a relaxed structure of Li3Pb.

ρ: 4.52 g cm⁻³
Total magnetization: 0.00 μB per formula unit
DFT total energy: -2.718 eV/atom
Polymorph energy (0 for the lowest one): 102 meV per atom

Cell: 6.8555 8.8981 5.4957 Å, 90.00 90.00 90.00°
Closest atoms and distances in Å follow each position.
Fractional coordinates of all 16 atoms:
Li (0.0215, 0.2500, 0.1383)  3 Pb 2.88-2.93
Li (0.1847, 0.0346, 0.5931)  3 Pb 2.77-2.89, 3 Li 2.80-2.95
Li (0.1847, 0.4654, 0.5931)  3 Pb 2.77-2.89, 3 Li 2.80-2.95
Li (0.3153, 0.5346, 0.0931)  3 Pb 2.77-2.89, 3 Li 2.80-2.95
Li (0.3153, 0.9654, 0.0931)  3 Pb 2.77-2.89, 3 Li 2.80-2.95
Li (0.4785, 0.7500, 0.6383)  3 Pb 2.88-2.93
Li (0.5215, 0.2500, 0.3617)  3 Pb 2.88-2.93
Li (0.6847, 0.0346, 0.9069)  3 Pb 2.77-2.89, 3 Li 2.80-2.95
Li (0.6847, 0.4654, 0.9069)  3 Pb 2.77-2.89, 3 Li 2.80-2.95
Li (0.8153, 0.5346, 0.4069)  3 Pb 2.77-2.89, 3 Li 2.80-2.95
Li (0.8153, 0.9654, 0.4069)  3 Pb 2.77-2.89, 3 Li 2.80-2.95
Li (0.9785, 0.7500, 0.8617)  3 Pb 2.88-2.93
Pb (0.1150, 0.7500, 0.3568)  9 Li 2.77-2.93
Pb (0.3850, 0.2500, 0.8568)  9 Li 2.77-2.93
Pb (0.6150, 0.7500, 0.1432)  9 Li 2.77-2.93
Pb (0.8850, 0.2500, 0.6432)  9 Li 2.77-2.93

## Li3Pb5 (PBEsol)

Data for a relaxed structure of Li3Pb5.

ρ: 8.97 g cm⁻³
Total magnetization: 0.00 μB per formula unit
DFT total energy: -3.397 eV/atom

Cell: 8.5630 8.5630 8.5630 Å, 97.32 97.32 138.17°
Closest atoms and distances in Å follow each position.
Fractional coordinates of all 16 atoms:
Li (0.1720, 0.6720, 0.8440)  6 Pb 2.96-3.15
Li (0.2500, 0.2500, 0.0000)  8 Pb 3.04, 2 Li 3.06
Li (0.3280, 0.1720, 0.5000)  6 Pb 2.96-3.15
Li (0.6720, 0.8280, 0.5000)  6 Pb 2.96-3.15
Li (0.7500, 0.7500, 0.0000)  8 Pb 3.04, 2 Li 3.06
Li (0.8280, 0.3280, 0.1560)  6 Pb 2.96-3.15
Pb (0.0707, 0.2208, 0.2915)  4 Li 2.96-3.04
Pb (0.2208, 0.9293, 0.1502)  4 Li 2.96-3.04
Pb (0.2500, 0.7500, 0.5000)  2 Pb 3.06, 4 Li 3.15
Pb (0.2792, 0.4293, 0.7085)  4 Li 2.96-3.04
Pb (0.4293, 0.7208, 0.1502)  4 Li 2.96-3.04
Pb (0.5707, 0.2792, 0.8498)  4 Li 2.96-3.04
Pb (0.7208, 0.5707, 0.2915)  4 Li 2.96-3.04
Pb (0.7500, 0.2500, 0.5000)  2 Pb 3.06, 4 Li 3.15
Pb (0.7792, 0.0707, 0.8498)  4 Li 2.96-3.04
Pb (0.9293, 0.7792, 0.7085)  4 Li 2.96-3.04

## Li3Pb (PBEsol)

Data for a relaxed structure of Li3Pb.

ρ: 5.10 g cm⁻³
Total magnetization: 0.00 μB per formula unit
DFT total energy: -2.766 eV/atom
Polymorph energy (0 for the lowest one): 54 meV per atom

Cell: 5.2967 5.2967 5.2967 Å, 90.00 90.00 90.00°
Closest atoms and distances in Å follow each position.
Fractional coordinates of all 8 atoms:
Li (0.0000, 0.2500, 0.5000)  2 Li 2.65, 4 Pb 2.96
Li (0.0000, 0.7500, 0.5000)  2 Li 2.65, 4 Pb 2.96
Li (0.2500, 0.5000, 0.0000)  2 Li 2.65, 4 Pb 2.96
Li (0.5000, 0.0000, 0.2500)  2 Li 2.65, 4 Pb 2.96
Li (0.5000, 0.0000, 0.7500)  2 Li 2.65, 4 Pb 2.96
Li (0.7500, 0.5000, 0.0000)  2 Li 2.65, 4 Pb 2.96
Pb (0.0000, 0.0000, 0.0000)  12 Li 2.96
Pb (0.5000, 0.5000, 0.5000)  12 Li 2.96

## Li8Pb3 (PBEsol)

Data for a relaxed structure of Li8Pb3.

ρ: 5.56 g cm⁻³
Total magnetization: 0.00 μB per formula unit
DFT total energy: -2.873 eV/atom

Cell: 10.9314 10.9314 10.9314 Å, 24.82 24.82 24.82°
Closest atoms and distances in Å follow each position.
Fractional coordinates of all 11 atoms:
Li (0.0884, 0.0884, 0.0884)  4 Pb 2.81-2.88, 4 Li 2.85-2.86
Li (0.1784, 0.1784, 0.1784)  5 Li 2.81-3.00, 3 Pb 2.94
Li (0.2729, 0.2729, 0.2729)  8 Li 2.84-3.00
Li (0.3622, 0.3622, 0.3622)  4 Li 2.84-2.89, 4 Pb 2.86
Li (0.6378, 0.6378, 0.6378)  4 Li 2.84-2.89, 4 Pb 2.86
Li (0.7271, 0.7271, 0.7271)  8 Li 2.84-3.00
Li (0.8216, 0.8216, 0.8216)  5 Li 2.81-3.00, 3 Pb 2.94
Li (0.9116, 0.9116, 0.9116)  4 Pb 2.81-2.88, 4 Li 2.85-2.86
Pb (0.0000, 0.0000, 0.0000)  8 Li 2.81-2.86
Pb (0.4523, 0.4523, 0.4523)  7 Li 2.86-2.94, 1 Pb 3.03
Pb (0.5477, 0.5477, 0.5477)  7 Li 2.86-2.94, 1 Pb 3.03

## Li3Pb4 (PBEsol)

Data for a relaxed structure of Li3Pb4.

ρ: 8.26 g cm⁻³
Total magnetization: 0.00 μB per formula unit
DFT total energy: -3.291 eV/atom

Cell: 11.1131 11.1131 11.1131 Å, 159.33 159.33 29.39°
Closest atoms and distances in Å follow each position.
Fractional coordinates of all 7 atoms:
Li (0.0000, 0.0000, 0.0000)  10 Pb 3.22-3.24
Li (0.2861, 0.2861, 0.0000)  6 Pb 2.94-3.14, 4 Li 3.22
Li (0.7139, 0.7139, 0.0000)  6 Pb 2.94-3.14, 4 Li 3.22
Pb (0.1496, 0.1496, 0.0000)  6 Li 2.94-3.22, 4 Pb 3.25
Pb (0.4256, 0.4256, 0.0000)  5 Li 3.00-3.24, 5 Pb 3.20-3.25
Pb (0.5744, 0.5744, 0.0000)  5 Li 3.00-3.24, 5 Pb 3.20-3.25
Pb (0.8504, 0.8504, 0.0000)  6 Li 2.94-3.22, 4 Pb 3.25

## Li3Pb (PBEsol)

Data for a relaxed structure of Li3Pb.

ρ: 5.02 g cm⁻³
Total magnetization: 0.00 μB per formula unit
DFT total energy: -2.746 eV/atom
Polymorph energy (0 for the lowest one): 74 meV per atom

Cell: 4.6035 4.6035 3.5559 Å, 90.00 90.00 90.00°
Closest atoms and distances in Å follow each position.
Fractional coordinates of all 4 atoms:
Li (0.0000, 0.0000, 0.0000)  8 Li 2.91, 4 Pb 3.26
Li (0.0000, 0.5000, 0.5000)  4 Pb 2.91, 8 Li 2.91-3.26
Li (0.5000, 0.0000, 0.5000)  4 Pb 2.91, 8 Li 2.91-3.26
Pb (0.5000, 0.5000, 0.0000)  12 Li 2.91-3.26

## Li2Pb3 (PBEsol)

Data for a relaxed structure of Li2Pb3.

ρ: 8.64 g cm⁻³
Total magnetization: 0.00 μB per formula unit
DFT total energy: -3.339 eV/atom

Cell: 11.7766 11.7766 11.7766 Å, 17.02 17.02 17.02°
Closest atoms and distances in Å follow each position.
Fractional coordinates of all 5 atoms:
Li (0.1031, 0.1031, 0.1031)  6 Pb 2.99-3.05
Li (0.8969, 0.8969, 0.8969)  6 Pb 2.99-3.05
Pb (0.2962, 0.2962, 0.2962)  3 Li 3.05, 3 Pb 3.28
Pb (0.5000, 0.5000, 0.5000)  6 Li 2.99
Pb (0.7038, 0.7038, 0.7038)  3 Li 3.05, 3 Pb 3.28

## Li3Pb (PBEsol)

Data for a relaxed structure of Li3Pb.

ρ: 5.05 g cm⁻³
Total magnetization: 0.00 μB per formula unit
DFT total energy: -2.767 eV/atom
Polymorph energy (0 for the lowest one): 53 meV per atom

Cell: 5.9907 5.9907 4.8294 Å, 90.00 90.00 120.00°
Closest atoms and distances in Å follow each position.
Fractional coordinates of all 8 atoms:
Li (0.1722, 0.3444, 0.2500)  8 Li 2.90-3.10, 4 Pb 2.94-3.00
Li (0.1722, 0.8278, 0.2500)  8 Li 2.90-3.10, 4 Pb 2.94-3.00
Li (0.3444, 0.1722, 0.7500)  8 Li 2.90-3.10, 4 Pb 2.94-3.00
Li (0.6556, 0.8278, 0.2500)  8 Li 2.90-3.10, 4 Pb 2.94-3.00
Li (0.8278, 0.1722, 0.7500)  8 Li 2.90-3.10, 4 Pb 2.94-3.00
Li (0.8278, 0.6556, 0.7500)  8 Li 2.90-3.10, 4 Pb 2.94-3.00
Pb (0.3333, 0.6667, 0.7500)  12 Li 2.94-3.00
Pb (0.6667, 0.3333, 0.2500)  12 Li 2.94-3.00

Q: Number 5 is which compound?
A: Li3Pb

Q: DFT total energy of number 9 (Li2Pb3)?
A: -3.339 eV/atom

Q: The highest ρ belongs to which entry?
A: LiPb8